(1)
Entry from OQMD: crystalline Zr3Sb2As2Pt4 at its relaxed geometry (PBE).

## Properties
Total DFT energy (no corrections) in eV/atom: -6.9589

The structure in extended XYZ format:
```
11
Lattice="-1.527 -4.717 5.679 4.065 2.355 5.896 -4.678 3.837 -4.498" Properties=species:S:1:pos:R:3 pbc="T T T"
As -3.102 -0.440 0.591
As -0.306 3.096 0.699
Pt 0.130 -3.329 7.198
Pt 3.052 0.367 7.312
Pt -1.949 1.567 -0.852
Pt -0.834 0.506 4.994
Sb 0.679 -0.632 3.095
Sb 1.860 -1.731 8.480
Zr 0.000 0.000 0.000
Zr -2.468 -1.031 3.484
Zr 0.328 2.505 3.593
```



(2)
Entry from OQMD: crystalline Si3As2Pt2 at its relaxed geometry (PBE).

## Properties
Total DFT energy (no corrections) in eV/atom: -5.4740

The structure in extended XYZ format:
```
7
Lattice="-3.461 -6.850 -3.818 -6.695 -4.174 -3.352 -4.025 -3.717 -6.593" Properties=species:S:1:pos:R:3 pbc="T T T"
As -2.744 -2.852 -2.663
As -10.947 -11.379 -10.624
Pt -6.676 -6.939 -6.479
Pt -14.151 -14.710 -13.733
Si -5.278 -5.487 -5.123
Si -9.454 -9.828 -9.175
Si -12.793 -13.298 -12.415
```



(3)
Entry from OQMD: crystalline SmAsPt at its relaxed geometry (PBE).

## Properties
Total DFT energy (no corrections) in eV/atom: -6.3836

The structure in extended XYZ format:
```
12
Lattice="4.331 0.000 0.000 -2.165 3.750 0.000 0.000 0.000 15.716" Properties=species:S:1:pos:R:3 pbc="T T T"
As 2.165 1.250 1.854
As 2.165 1.250 6.004
As 0.000 2.500 9.712
As 0.000 2.500 13.862
Pt 0.000 2.500 2.094
Pt 0.000 2.500 5.764
Pt 2.165 1.250 9.952
Pt 2.165 1.250 13.622
Sm 0.000 0.000 0.000
Sm 0.000 0.000 3.929
Sm 0.000 0.000 7.858
Sm 0.000 0.000 11.787
```



(4)
Entry from OQMD: crystalline TbSmAs2Pt2 at its relaxed geometry (PBE).

## Properties
Total DFT energy (no corrections) in eV/atom: -6.3758

The structure in extended XYZ format:
```
12
Lattice="4.316 0.000 0.000 -2.158 3.738 0.000 0.000 0.000 15.430" Properties=species:S:1:pos:R:3 pbc="T T T"
As 0.000 2.492 1.823
As 0.000 2.492 5.892
As 2.158 1.246 9.538
As 2.158 1.246 13.606
Pt 2.158 1.246 2.137
Pt 2.158 1.246 5.578
Pt 0.000 2.492 9.852
Pt 0.000 2.492 13.293
Sm 0.000 0.000 0.000
Sm 0.000 0.000 7.715
Tb 0.000 0.000 3.857
Tb 0.000 0.000 11.572
```



Number 1: size of the total moment 0.02 μB/f.u., mass density 9.8 g/cm³. Number 2: size of the total moment 0.00 μB/f.u., mass density 8.2 g/cm³. Number 3: size of the total moment 0.00 μB/f.u., mass density 10.9 g/cm³. Number 4: size of the total moment 0.00 μB/f.u., mass density 11.3 g/cm³.